No. 1
Density functional theory data (PBE) for a relaxed AcPrY5Ho2 crystal.

The structure belongs to space group Cmc2_1 (No. 36); the cell edges are 5.605, 23.750 and 9.452 Å and the angles 90.00°, 90.00° and 90.00°. The asymmetric unit holds Ac at (0.000, 0.102, 0.000), Pr at (0.000, 0.263, 0.606), Y at (0.000, 0.025, 0.321), Y at (0.000, 0.103, 0.605), Y at (0.000, 0.189, 0.301), Y at (0.000, 0.242, 0.933), Y at (0.000, 0.493, 0.097), Ho at (0.000, 0.332, 0.244) and Ho at (0.000, 0.387, 0.863).

The electronic total energy comes out at -195.70 eV for the cell shown.


No. 2
Density functional theory data (PBE) for a relaxed AcPrY6Ho2 crystal.

The structure belongs to space group C2/c (No. 15); the cell edges are 9.323, 15.301 and 9.636 Å and the angles 90.00°, 95.49° and 90.00°. The asymmetric unit holds Ac at (0.000, 0.032, 0.250), Pr at (0.000, 0.411, 0.750), Y at (0.063, 0.185, 0.942), Y at (0.098, 0.389, 0.114), Y at (0.213, 0.231, 0.322) and Ho at (0.247, 0.445, 0.449).

The electronic total energy comes out at -222.19 eV for the cell shown.


No. 3
Density functional theory data (PBE) for a relaxed AcPrYHo crystal.

The structure belongs to space group F-43m (No. 216); the cell edges are 8.330, 8.330 and 8.330 Å and the angles 90.00°, 90.00° and 90.00°. The asymmetric unit holds Ac at (0.000, 0.000, 0.000), Pr at (0.000, 0.000, 0.500), Y at (0.250, 0.250, 0.250) and Ho at (0.250, 0.250, 0.750).

The energy relative to the lowest polymorph listed for this composition is 0 meV per atom. The electronic total energy comes out at -78.12 eV for the cell shown.


No. 4
Density functional theory data (PBE) for a relaxed AcPr2Y6Ho3 crystal.

The structure belongs to space group C2/m (No. 12); the cell edges are 6.285, 10.882 and 11.928 Å and the angles 90.00°, 100.09° and 90.00°. The asymmetric unit holds Ac at (0.000, 0.000, 0.000), Pr at (0.000, 0.333, 0.000), Y at (0.246, 0.332, 0.743), Y at (0.249, 0.000, 0.743), Ho at (0.000, 0.167, 0.500) and Ho at (0.000, 0.500, 0.500).

The electronic total energy comes out at -131.63 eV for the cell shown.


No. 5
Density functional theory data (PBE) for a relaxed AcHoPt crystal.

The structure belongs to space group P3m1 (No. 156); the cell edges are 4.2698, 4.2698 and 6.4609 Å and the angles 90.00°, 90.00° and 120.00°. The asymmetric unit holds Ac at (0.0000, 0.0000, 0.0000), Ho at (0.6667, 0.3333, 0.4837) and Pt at (0.3333, 0.6667, 0.2777).

The energy relative to the lowest polymorph listed for this composition is 105 meV per atom. The electronic total energy comes out at -17.03 eV for the cell shown.


No. 6
Density functional theory data (PBE) for a relaxed Ac2HoPt crystal.

The structure belongs to space group P4/mmm (No. 123); the cell edges are 3.885, 3.885 and 8.681 Å and the angles 90.00°, 90.00° and 90.00°. The asymmetric unit holds Ac at (0.000, 0.000, 0.204), Ho at (0.500, 0.500, 0.500) and Pt at (0.500, 0.500, 0.000).

The energy relative to the lowest polymorph listed for this composition is 0 meV per atom. The electronic total energy comes out at -20.59 eV for the cell shown.


No. 7
Density functional theory data (PBE) for a relaxed AcHoPt crystal.

The structure belongs to space group F-43m (No. 216); the cell edges are 7.215, 7.215 and 7.215 Å and the angles 90.00°, 90.00° and 90.00°. The asymmetric unit holds Ac at (0.000, 0.000, 0.000), Ho at (0.000, 0.000, 0.500) and Pt at (0.250, 0.250, 0.250).

The energy relative to the lowest polymorph listed for this composition is 169 meV per atom. The electronic total energy comes out at -67.36 eV for the cell shown.


No. 8
Density functional theory data (PBE) for a relaxed AcHoPt crystal.

The structure belongs to space group C2 (No. 5); the cell edges are 8.564, 6.868 and 7.806 Å and the angles 90.00°, 117.46° and 90.00°. The asymmetric unit holds Ac at (0.007, 0.000, 0.260), Ho at (0.000, 0.474, 0.000), Ho at (0.000, 0.507, 0.500) and Pt at (0.229, 0.654, 0.862).

The energy relative to the lowest polymorph listed for this composition is 256 meV per atom. The electronic total energy comes out at -66.31 eV for the cell shown.


No. 9
Density functional theory data (PBE) for a relaxed Ac2Ho3Pt4 crystal.

The structure belongs to space group P2_1/c (No. 14); the cell edges are 7.728, 7.775 and 8.069 Å and the angles 90.00°, 109.47° and 90.00°. The asymmetric unit holds Ac at (0.197, 0.175, 0.082), Ho at (0.250, 0.661, 0.249), Ho at (0.500, 0.000, 0.500), Pt at (0.096, 0.544, 0.869) and Pt at (0.497, 0.636, 0.626).

The electronic total energy comes out at -113.25 eV for the cell shown.


No. 10
Density functional theory data (PBE) for a relaxed Ac5HoPt4 crystal.

The structure belongs to space group Pmmn (No. 59, origin choice 2); the cell edges are 9.128, 10.271 and 7.543 Å and the angles 90.00°, 90.00° and 90.00°. The asymmetric unit holds Ac at (0.004, 0.052, 0.242), Ac at (0.250, 0.250, 0.686), Ho at (0.250, 0.750, 0.303), Pt at (0.008, 0.750, 0.075) and Pt at (0.250, 0.513, 0.499).

The electronic total energy comes out at -115.70 eV for the cell shown.


No. 11
Density functional theory data (PBE) for a relaxed AcHoPt crystal.

The structure belongs to space group C2/m (No. 12); the cell edges are 6.955, 6.953 and 7.277 Å and the angles 90.00°, 90.11° and 90.00°. The asymmetric unit holds Ac at (0.250, 0.000, 0.119), Ho at (0.000, 0.250, 0.500) and Pt at (0.249, 0.500, 0.294).

The energy relative to the lowest polymorph listed for this composition is 0 meV per atom. The electronic total energy comes out at -69.39 eV for the cell shown.


No. 12
Density functional theory data (PBE) for a relaxed Ac2HoPt crystal.

The structure belongs to space group R-3m (No. 166, hexagonal axes); the cell edges are 4.0524, 4.0524 and 33.0004 Å and the angles 90.00°, 90.00° and 120.00°. The asymmetric unit holds Ac at (0.0000, 0.0000, 0.1101), Ho at (0.0000, 0.0000, 0.0000) and Pt at (0.0000, 0.0000, 0.5000).

The energy relative to the lowest polymorph listed for this composition is 220 meV per atom. The electronic total energy comes out at -59.12 eV for the cell shown.


No. 13
Density functional theory data (PBE) for a relaxed Ac3HoPt8 crystal.

The structure belongs to space group R3m (No. 160, hexagonal axes); the cell edges are 5.6021, 5.6021 and 27.4811 Å and the angles 90.00°, 90.00° and 120.00°. The asymmetric unit holds Ac at (0.0000, 0.0000, 0.0000), Ac at (0.0000, 0.0000, 0.1262), Ac at (0.0000, 0.0000, 0.6219), Ho at (0.0000, 0.0000, 0.4980), Pt at (0.0000, 0.0000, 0.3121), Pt at (0.0000, 0.0000, 0.8123), Pt at (0.0023, 0.5012, 0.0638) and Pt at (0.1670, 0.3340, 0.8936).

The electronic total energy comes out at -232.90 eV for the cell shown.


No. 14
Density functional theory data (PBE) for a relaxed AcHoPt crystal.

The structure belongs to space group P2_1/c (No. 14); the cell edges are 8.841, 6.557 and 6.535 Å and the angles 90.00°, 111.65° and 90.00°. The asymmetric unit holds Ac at (0.147, 0.001, 0.323), Ho at (0.499, 0.689, 0.691) and Pt at (0.233, 0.501, 0.365).

The energy relative to the lowest polymorph listed for this composition is 21 meV per atom. The electronic total energy comes out at -69.13 eV for the cell shown.


No. 15
Density functional theory data (PBE) for a relaxed Ac3HoPt3 crystal.

The structure belongs to space group P2_1/c (No. 14); the cell edges are 8.743, 7.635 and 13.447 Å and the angles 90.00°, 90.34° and 90.00°. The asymmetric unit holds Ac at (0.116, 0.155, 0.167), Ac at (0.371, 0.685, 0.328), Ac at (0.380, 0.195, 0.427), Ho at (0.141, 0.653, 0.065), Pt at (0.115, 0.545, 0.866), Pt at (0.347, 0.551, 0.546) and Pt at (0.366, 0.065, 0.648).

The electronic total energy comes out at -167.76 eV for the cell shown.


No. 16
Density functional theory data (PBE) for a relaxed AcHoSi2Pt5 crystal.

The structure belongs to space group P4/mmm (No. 123); the cell edges are 4.703, 4.703 and 8.604 Å and the angles 90.00°, 90.00° and 90.00°. The asymmetric unit holds Ac at (0.000, 0.000, 0.000), Ho at (0.000, 0.000, 0.500), Si at (0.500, 0.500, 0.277), Pt at (0.000, 0.500, 0.298) and Pt at (0.500, 0.500, 0.000).

As for the uncorrected formation energy: -843 meV/atom. The electronic total energy comes out at -57.32 eV for the cell shown.


No. 17
Density functional theory data (PBE) for a relaxed AcHoSiPt crystal.

The structure belongs to space group F-43m (No. 216); the cell edges are 7.357, 7.357 and 7.357 Å and the angles 90.00°, 90.00° and 90.00°. The asymmetric unit holds Ac at (0.000, 0.000, 0.000), Ho at (0.000, 0.000, 0.500), Si at (0.250, 0.250, 0.250) and Pt at (0.250, 0.250, 0.750).

As for the uncorrected formation energy: -698 meV/atom. The electronic total energy comes out at -91.77 eV for the cell shown.


No. 18
Density functional theory data (PBE) for a relaxed Ac2HoSi4Pt3 crystal.

The structure belongs to space group P-4m2 (No. 115); the cell edges are 4.375, 4.375 and 10.953 Å and the angles 90.00°, 90.00° and 90.00°. The asymmetric unit holds Ac at (0.000, 0.500, 0.233), Ho at (0.000, 0.000, 0.500), Si at (0.000, 0.000, 0.000), Si at (0.000, 0.500, 0.661), Si at (0.500, 0.500, 0.000), Pt at (0.000, 0.500, 0.893) and Pt at (0.500, 0.500, 0.500).

As for the uncorrected formation energy: -970 meV/atom. The electronic total energy comes out at -62.31 eV for the cell shown.


No. 19
Density functional theory data (PBE) for a relaxed AcHoTlPt crystal.

The structure belongs to space group F-43m (No. 216); the cell edges are 7.615, 7.615 and 7.615 Å and the angles 90.00°, 90.00° and 90.00°. The asymmetric unit holds Ac at (0.000, 0.000, 0.000), Ho at (0.000, 0.000, 0.500), Tl at (0.250, 0.250, 0.250) and Pt at (0.250, 0.250, 0.750).

The electronic total energy comes out at -77.51 eV for the cell shown.


No. 20
Density functional theory data (PBE) for a relaxed AcHo2Pu crystal.

The structure belongs to space group P4/mmm (No. 123); the cell edges are 5.893, 5.893 and 3.874 Å and the angles 90.00°, 90.00° and 90.00°. The asymmetric unit holds Ac at (0.000, 0.000, 0.000), Ho at (0.000, 0.500, 0.500) and Pu at (0.500, 0.500, 0.000).

The energy relative to the lowest polymorph listed for this composition is 95 meV per atom. The electronic total energy comes out at -26.63 eV for the cell shown.


No. 21
Density functional theory data (PBE) for a relaxed AcHo2Pu crystal.

The structure belongs to space group R-3m (No. 166, hexagonal axes); the cell edges are 3.5323, 3.5323 and 37.5232 Å and the angles 90.00°, 90.00° and 120.00°. The asymmetric unit holds Ac at (0.0000, 0.0000, 0.0000), Ho at (0.0000, 0.0000, 0.0939) and Pu at (0.0000, 0.0000, 0.5000).

The energy relative to the lowest polymorph listed for this composition is 134 meV per atom. The electronic total energy comes out at -79.44 eV for the cell shown.


No. 22
Density functional theory data (PBE) for a relaxed AcHoPu crystal.

The structure belongs to space group P3m1 (No. 156); the cell edges are 5.8575, 5.8575 and 3.4548 Å and the angles 90.00°, 90.00° and 120.00°. The asymmetric unit holds Ac at (0.0000, 0.0000, 0.0000), Ho at (0.3333, 0.6667, 0.9949) and Pu at (0.6667, 0.3333, 0.4979).

The energy relative to the lowest polymorph listed for this composition is 140 meV per atom. The electronic total energy comes out at -22.05 eV for the cell shown.


No. 23
Density functional theory data (PBE) for a relaxed Ac2HoPu crystal.

The structure belongs to space group R-3m (No. 166, hexagonal axes); the cell edges are 3.6995, 3.6995 and 38.8101 Å and the angles 90.00°, 90.00° and 120.00°. The asymmetric unit holds Ac at (0.0000, 0.0000, 0.0889), Ho at (0.0000, 0.0000, 0.5000) and Pu at (0.0000, 0.0000, 0.0000).

The energy relative to the lowest polymorph listed for this composition is 185 meV per atom. The electronic total energy comes out at -77.18 eV for the cell shown.